[1]
# PBE ScMoCl2, optimized geometry
data_ScMoCl2
_chemical_formula_sum 'Sc2 Mo2 Cl4'
_space_group_name_H-M_alt 'P 1'
_space_group_IT_number 1
_space_group_name_Hall 'P 1'
_cell_length_a 8.641
_cell_length_b 8.641
_cell_length_c 8.641
_cell_angle_alpha 150.78
_cell_angle_beta 150.78
_cell_angle_gamma 41.80
loop_
_atom_site_label
_atom_site_type_symbol
_atom_site_fract_x
_atom_site_fract_y
_atom_site_fract_z
_atom_site_occupancy
Sc1 Sc 0.000 0.000 0.000 1
Sc2 Sc 0.750 0.250 0.500 1
Mo1 Mo 0.250 0.750 0.500 1
Mo2 Mo 0.500 0.500 0.000 1
Cl1 Cl 0.141 0.625 0.016 1
Cl2 Cl 0.375 0.391 0.516 1
Cl3 Cl 0.609 0.125 0.984 1
Cl4 Cl 0.875 0.859 0.484 1
# Crystal system: tetragonal
# E above lowest polymorph, kJ/mol of atoms: 55.26
# Final energy, eV/cell: -43.61
# Space group: I-42d, No. 122
# Energy relative to the elements, uncorrected, meV per atom: -237
# Fermi-level density of states, states/eV/f.u.: 1.97

---

[2]
# PBE HoTm2Cd9, optimized geometry
data_HoTm2Cd9
_chemical_formula_sum 'Ho1 Tm2 Cd9'
_space_group_name_H-M_alt 'P 1'
_space_group_IT_number 1
_space_group_name_Hall 'P 1'
_cell_length_a 4.636
_cell_length_b 4.636
_cell_length_c 13.237
_cell_angle_alpha 90.00
_cell_angle_beta 90.00
_cell_angle_gamma 90.00
loop_
_atom_site_label
_atom_site_type_symbol
_atom_site_fract_x
_atom_site_fract_y
_atom_site_fract_z
_atom_site_occupancy
Ho1 Ho 0.000 0.000 0.000 1
Tm1 Tm 0.000 0.000 0.335 1
Tm2 Tm 0.000 0.000 0.665 1
Cd1 Cd 0.000 0.500 0.168 1
Cd2 Cd 0.000 0.500 0.500 1
Cd3 Cd 0.000 0.500 0.832 1
Cd4 Cd 0.500 0.000 0.168 1
Cd5 Cd 0.500 0.000 0.500 1
Cd6 Cd 0.500 0.000 0.832 1
Cd7 Cd 0.500 0.500 0.000 1
Cd8 Cd 0.500 0.500 0.335 1
Cd9 Cd 0.500 0.500 0.665 1
# Crystal system: tetragonal
# Final energy, eV/cell: -24.44
# Space group: P4/mmm, No. 123
# Fermi-level density of states, states/eV/f.u.: 9.12
# Formation enthalpy at 0 K, eV/f.u.: -2.69